Record 1
# CePm3Er3Te8 | Alexandria via LeMat-Bulk | PBE-GGA | relaxed
data_CePm3Er3Te8
_chemical_formula_sum 'Ce3 Pm9 Er9 Te24'
_cell_length_a 8.7771
_cell_length_b 8.7771
_cell_length_c 21.4624
_cell_angle_alpha 90.00
_cell_angle_beta 90.00
_cell_angle_gamma 120.00
_space_group_name_H-M_alt 'R -3 m'
_space_group_IT_number 166
_space_group_name_Hall '-R 3 2"'
loop_
_atom_site_label
_atom_site_type_symbol
_atom_site_fract_x
_atom_site_fract_y
_atom_site_fract_z
Ce1 Ce 0.0000 0.0000 0.0000
Pm1 Pm 0.0000 0.5000 0.5000
Er1 Er 0.0000 0.5000 0.0000
Te1 Te 0.0000 0.0000 0.2540
Te2 Te 0.0184 0.5092 0.2495
# * total DFT energy (no corrections): -5.303 eV/atom

=====

Record 2
# Ho4GeAsSe2 | Alexandria via LeMat-Bulk | PBE-GGA | relaxed
data_Ho4GeAsSe2
_chemical_formula_sum 'Ho4 Ge1 As1 Se2'
_cell_length_a 7.099
_cell_length_b 4.100
_cell_length_c 7.107
_cell_angle_alpha 90.00
_cell_angle_beta 109.40
_cell_angle_gamma 90.00
_space_group_name_H-M_alt 'P 1 2/m 1'
_space_group_IT_number 10
loop_
_space_group_symop_operation_xyz
'x,y,z'
'-x,-y,-z'
'-x,y,-z'
'x,-y,z'
loop_
_atom_site_label
_atom_site_type_symbol
_atom_site_fract_x
_atom_site_fract_y
_atom_site_fract_z
Ho1 Ho 0.243 0.000 0.237
Ho2 Ho 0.251 0.500 0.763
Ge1 Ge 0.000 0.500 0.000
As1 As 0.500 0.000 0.000
Se1 Se 0.000 0.000 0.500
Se2 Se 0.500 0.500 0.500
# * total DFT energy (no corrections): -5.875 eV/atom